#P
VASP calculation (GGA-PBEsol) on a relaxed K2ScOs crystal.

## Properties
Its density of states at the Fermi level is 3.9 states/eV/cell.

Unit cell a=3.995 b=3.995 c=6.549 alpha=107.76 beta=107.76 gamma=90.00
Positions (direct):
K (0.750, 0.250, 0.500)
K (0.250, 0.750, 0.500)
Os (0.500, 0.500, 0.000)
Sc (0.000, 0.000, 0.000)

#Q
VASP calculation (GGA-PBEsol) on a relaxed K2ScOs crystal.

## Properties
Its density of states at the Fermi level is 3.4 states/eV/cell.

Unit cell a=3.243 b=4.665 c=6.134 alpha=90.00 beta=90.00 gamma=91.99
Positions (direct):
K (0.246, 0.258, 0.000)
K (0.754, 0.742, 0.000)
Os (0.000, 0.500, 0.500)
Sc (0.500, 0.000, 0.500)

Quick one: most stable of them? #Q

#P
VASP calculation (GGA-PBEsol) on a relaxed KYOs crystal.

## Properties
Its density of states at the Fermi level is 5.0 states/eV/cell.

Unit cell a=4.644 b=4.644 c=4.644 alpha=60.00 beta=60.00 gamma=60.00
Positions (direct):
K (0.250, 0.250, 0.250)
Os (0.000, 0.000, 0.000)
Y (0.500, 0.500, 0.500)

#Q
VASP calculation (GGA-PBEsol) on a relaxed KYOs crystal.

## Properties
Its density of states at the Fermi level is 3.4 states/eV/cell.

Unit cell a=3.403 b=3.403 c=7.976 alpha=102.32 beta=102.32 gamma=90.00
Positions (direct):
K (0.965, 0.965, 0.929)
Os (0.312, 0.312, 0.625)
Y (0.723, 0.723, 0.446)

Quick one: most stable of them? #Q

#P
VASP calculation (GGA-PBEsol) on a relaxed KYOs2 crystal.

## Properties
Its density of states at the Fermi level is 2.6 states/eV/cell.

Unit cell a=4.040 b=4.676 c=6.699 alpha=110.43 beta=107.55 gamma=90.00
Positions (direct):
K (0.284, 0.784, 0.567)
Os (0.051, 0.051, 0.103)
Os (0.647, 0.147, 0.294)
Y (0.518, 0.518, 0.035)

#Q
VASP calculation (GGA-PBEsol) on a relaxed KYOs2 crystal.

## Properties
Its density of states at the Fermi level is 5.3 states/eV/cell.

Unit cell a=2.839 b=2.839 c=9.801 alpha=90.00 beta=90.00 gamma=90.00
Positions (direct):
K (0.500, 0.500, 0.500)
Os (0.000, 0.000, 0.778)
Os (0.000, 0.000, 0.222)
Y (0.500, 0.500, 0.000)

#R
VASP calculation (GGA-PBEsol) on a relaxed KYOs2 crystal.

## Properties
Its density of states at the Fermi level is 2.9 states/eV/cell.

Unit cell a=2.843 b=2.843 c=10.121 alpha=90.00 beta=90.00 gamma=113.17
Positions (direct):
K (0.500, 0.500, 0.000)
Os (0.000, 0.000, 0.275)
Os (0.000, 0.000, 0.725)
Y (0.500, 0.500, 0.500)

Quick one: most stable of them? #P

#P
VASP calculation (GGA-PBEsol) on a relaxed KZnOs crystal.

## Properties
Its density of states at the Fermi level is 1.1 states/eV/cell.

Unit cell a=2.593 b=4.944 c=4.944 alpha=120.00 beta=90.00 gamma=90.00
Positions (direct):
K (0.000, 0.000, 0.000)
Os (0.498, 0.333, 0.667)
Zn (0.501, 0.667, 0.333)

#Q
VASP calculation (GGA-PBEsol) on a relaxed KZnOs crystal.

## Properties
Its density of states at the Fermi level is 4.8 states/eV/cell.

Unit cell a=4.545 b=4.545 c=4.545 alpha=60.00 beta=60.00 gamma=60.00
Positions (direct):
K (0.000, 0.000, 0.000)
Os (0.500, 0.500, 0.500)
Zn (0.250, 0.250, 0.250)

Quick one: most stable of them? #P

#P
VASP calculation (GGA-PBEsol) on a relaxed KP crystal.

## Properties
Its density of states at the Fermi level is 2.6 states/eV/cell.

Unit cell a=4.778 b=5.415 c=4.778 alpha=63.83 beta=90.00 gamma=116.17
Positions (direct):
K (0.750, 0.500, 0.750)
K (0.000, 0.000, 0.000)
P (0.250, 0.500, 0.250)
P (0.500, 0.000, 0.500)

#Q
VASP calculation (GGA-PBEsol) on a relaxed KP crystal.

## Properties
Its density of states at the Fermi level is 0.8 states/eV/cell.

Unit cell a=3.822 b=5.022 c=6.137 alpha=114.15 beta=90.00 gamma=90.00
Positions (direct):
P (0.250, 0.444, 0.888)
P (0.750, 0.556, 0.112)
K (0.250, 0.141, 0.281)
K (0.750, 0.859, 0.719)

#R
VASP calculation (GGA-PBEsol) on a relaxed KP crystal.

Unit cell a=6.002 b=6.470 c=11.202 alpha=90.00 beta=90.00 gamma=90.00
Positions (direct):
K (0.667, 0.150, 0.718)
K (0.833, 0.850, 0.218)
K (0.167, 0.350, 0.282)
K (0.333, 0.650, 0.782)
K (0.399, 0.883, 0.416)
K (0.101, 0.117, 0.916)
K (0.899, 0.617, 0.584)
K (0.601, 0.383, 0.084)
P (0.907, 0.080, 0.471)
P (0.593, 0.920, 0.971)
P (0.407, 0.420, 0.529)
P (0.093, 0.580, 0.029)
P (0.168, 0.187, 0.603)
P (0.332, 0.813, 0.103)
P (0.668, 0.313, 0.397)
P (0.832, 0.687, 0.897)

#S
VASP calculation (GGA-PBEsol) on a relaxed KP crystal.

## Properties
Its density of states at the Fermi level is 3.9 states/eV/cell.

Unit cell a=3.947 b=6.098 c=9.043 alpha=90.00 beta=90.00 gamma=90.00
Positions (direct):
P (0.750, 0.415, 0.027)
P (0.250, 0.915, 0.473)
P (0.750, 0.085, 0.527)
P (0.250, 0.585, 0.973)
K (0.750, 0.902, 0.180)
K (0.250, 0.402, 0.320)
K (0.750, 0.598, 0.680)
K (0.250, 0.098, 0.820)

Quick one: most stable of them? #R

#P
VASP calculation (GGA-PBEsol) on a relaxed KP2Rh crystal.

## Properties
Its density of states at the Fermi level is 6.2 states/eV/cell.

Unit cell a=6.378 b=6.378 c=6.378 alpha=79.41 beta=65.91 gamma=114.09
Positions (direct):
P (0.883, 0.258, 0.125)
P (0.117, 0.992, 0.625)
P (0.617, 0.625, 0.258)
P (0.383, 0.125, 0.992)
K (0.000, 0.500, 0.500)
K (0.500, 0.750, 0.750)
Rh (0.000, 0.000, 0.000)
Rh (0.500, 0.250, 0.250)

#Q
VASP calculation (GGA-PBEsol) on a relaxed KP2Rh crystal.

## Properties
Its density of states at the Fermi level is 1.1 states/eV/cell.

Unit cell a=4.493 b=4.493 c=4.493 alpha=60.00 beta=60.00 gamma=60.00
Positions (direct):
K (0.500, 0.500, 0.500)
P (0.250, 0.250, 0.250)
P (0.750, 0.750, 0.750)
Rh (0.000, 0.000, 0.000)

#R
VASP calculation (GGA-PBEsol) on a relaxed KP2Rh crystal.

## Properties
Its density of states at the Fermi level is 2.4 states/eV/cell.

Unit cell a=3.074 b=5.547 c=5.547 alpha=60.13 beta=73.91 gamma=73.91
Positions (direct):
K (0.258, 0.242, 0.242)
P (0.071, 0.929, 0.929)
P (0.742, 0.758, 0.758)
Rh (0.429, 0.571, 0.571)

Quick one: most stable of them? #P